{
  "formula": "TlSnCl3",
  "functional": "PBE",
  "state": "relaxed",
  "final_energy_ev_per_atom": -3.387,
  "space_group": "C2/m (12)",
  "formation_energy_uncorrected_mev_per_atom": -1005.6,
  "cell": [[-7.884, 12.605, -11.027], [0.925, 6.594, -5.626], [0.981, -8.368, 2.235]],
  "species": ["Cl", "Cl", "Cl", "Cl", "Cl", "Cl", "Sn", "Sn", "Tl", "Tl"],
  "frac_coords": [[0.984, 0.409, 0.591], [0.016, 0.591, 0.409], [0.687, 0.062, 0.938], [0.666, 0.394, 0.606], [0.313, 0.938, 0.062], [0.334, 0.606, 0.394], [0.870, 0.305, 0.695], [0.130, 0.695, 0.305], [0.605, 0.780, 0.220], [0.395, 0.220, 0.780]]
}


{
  "formula": "NaHf3F",
  "functional": "PBE",
  "state": "relaxed",
  "final_energy_ev_per_atom": -4.994,
  "e_above_lowest_polymorph_ev_per_fu": 8.25,
  "space_group": "Pm-3m (221)",
  "formation_energy_uncorrected_mev_per_atom": 1616.2,
  "cell": [[5.022, 0.000, 0.000], [0.000, 5.022, 0.000], [0.000, 0.000, 5.022]],
  "species": ["F", "Hf", "Hf", "Hf", "Na"],
  "frac_coords": [[0.500, 0.500, 0.500], [0.000, 0.500, 0.000], [0.500, 0.000, 0.000], [0.000, 0.000, 0.500], [0.000, 0.000, 0.000]]
}


{
  "formula": "LiMo2As",
  "functional": "PBE",
  "state": "relaxed",
  "final_energy_ev_per_atom": -7.081,
  "space_group": "P4mm (99)",
  "e_form_ev_per_atom": -0.02,
  "cell": [[3.269, 0.000, 0.000], [0.000, 3.269, 0.000], [0.000, 0.000, 5.577]],
  "species": ["Mo", "Mo", "As", "Li"],
  "frac_coords": [[0.000, 0.000, 0.005], [0.500, 0.500, 0.242], [0.000, 0.000, 0.514], [0.500, 0.500, 0.739]]
}


{
  "formula": "BeSb2Au",
  "functional": "PBE",
  "state": "relaxed",
  "final_energy_ev_per_atom": -3.707,
  "space_group": "Cm (8)",
  "formation_energy_uncorrected_mev_per_atom": 104.9,
  "cell": [[-1.424, 2.878, 2.864], [-3.614, 2.319, -0.276], [-4.218, -2.948, 3.465]],
  "species": ["Sb", "Sb", "Be", "Au"],
  "frac_coords": [[0.745, 0.745, 0.678], [0.016, 0.016, 0.077], [0.233, 0.233, 0.317], [0.506, 0.506, 0.429]]
}


{
  "formula": "SrS",
  "functional": "PBE",
  "state": "relaxed",
  "final_energy_ev_per_atom": -4.954,
  "e_above_lowest_polymorph_ev_per_fu": 0.21,
  "space_group": "P6_3/mmc (194)",
  "formation_energy_uncorrected_mev_per_atom": -2049.1,
  "cell": [[4.204, 0.000, 0.000], [-2.102, 3.641, 0.000], [0.000, 0.000, 7.376]],
  "species": ["S", "S", "Sr", "Sr"],
  "frac_coords": [[0.667, 0.333, 0.250], [0.333, 0.667, 0.750], [0.000, 0.000, 0.500], [0.000, 0.000, 0.000]]
}


{
  "formula": "Rb3Tm2PbSe6",
  "functional": "PBE",
  "state": "relaxed",
  "final_energy_ev_per_atom": -4.400,
  "space_group": "C2/m (12)",
  "formation_energy_uncorrected_mev_per_atom": -1361.6,
  "cell": [[-0.812, -0.308, 7.323], [-4.909, -3.307, -4.398], [6.253, -5.518, -0.774]],
  "species": ["Se", "Se", "Se", "Se", "Se", "Se", "Tm", "Tm", "Rb", "Rb", "Rb", "Pb"],
  "frac_coords": [[0.066, 0.414, 0.197], [0.283, 0.283, 0.805], [0.414, 0.066, 0.197], [0.934, 0.586, 0.803], [0.717, 0.717, 0.195], [0.586, 0.934, 0.803], [0.667, 0.333, 0.000], [0.333, 0.667, 0.000], [0.162, 0.838, 0.500], [0.838, 0.162, 0.500], [0.500, 0.500, 0.500], [0.000, 0.000, 0.000]]
}